! PBE CuReRh, relaxed; values from VASP
&SYSTEM
  ibrav = 0, nat = 3, ntyp = 3
/
ATOMIC_SPECIES
Cu 63.55 Cu.upf
Re 186.21 Re.upf
Rh 102.91 Rh.upf
ATOMIC_POSITIONS angstrom
Cu 10.348 3.672 0.000
Re 3.446 1.223 0.000
Rh 6.915 2.454 0.000
CELL_PARAMETERS angstrom
5.826 0.009 0.000
4.529 3.666 0.000
-5.177 -1.837 1.940
! DOS(E_F) = 0.73 states/eV/atom
! ΔH_f (0 K) = 69 meV per atom
! VASP energy = -23.69 eV for the cell shown
! polymorph energy (0 for the lowest one) = 0.000 eV per atom
! space-group type = I4mm